Record 1
Computed, not measured: a geometry-optimized Mn3OF5 structure at the PBEsol level of DFT.

Cell lengths 9.2031, 6.9882, 7.3322 Å; angles 90.00, 110.75, 90.00 degrees
Space group C2/m (No. 12)
Inequivalent atoms, fractional coordinates:
Mn: 0.0000 0.0000 0.0000
Mn: 0.0000 0.0000 0.5000
Mn: 0.1482 0.5000 0.1557
Mn: 0.1590 0.5000 0.6789
O: 0.0652 0.5000 0.8779
F: 0.0000 0.2970 0.5000
F: 0.1248 0.0000 0.8076
F: 0.1631 0.1904 0.1805
F: 0.2496 0.0000 0.5492

**Offset from the most stable computed form**: 0.0 meV/atom
**Uncorrected formation energy**: -2126 meV/atom

***

Record 2
Computed, not measured: a geometry-optimized Mn2O3F structure at the PBEsol level of DFT.

Cell lengths 5.8642, 13.0534, 6.2147 Å; angles 90.00, 90.00, 90.00 degrees
Space group Cmmm (No. 65)
Inequivalent atoms, fractional coordinates:
Mn: 0.0000 0.0000 0.0000
Mn: 0.0000 0.2408 0.5000
Mn: 0.0000 0.5000 0.0000
Mn: 0.2379 0.0000 0.5000
Mn: 0.2500 0.2500 0.0000
O: 0.0000 0.0955 0.5000
O: 0.0000 0.3451 0.0000
O: 0.2486 0.0000 0.1957
O: 0.2500 0.2500 0.3064
F: 0.0000 0.1446 0.0000
F: 0.0000 0.4025 0.5000

**Offset from the most stable computed form**: 24.4 meV/atom
**Uncorrected formation energy**: -1749 meV/atom

***

Record 3
Computed, not measured: a geometry-optimized Mn2O3F structure at the PBEsol level of DFT.

Cell lengths 8.7946, 6.2038, 6.5057 Å; angles 90.00, 90.00, 90.00 degrees
Space group Amm2 (No. 38)
Inequivalent atoms, fractional coordinates:
Mn: 0.0000 0.0000 0.0000
Mn: 0.1666 0.0000 0.4651
Mn: 0.3333 0.0000 0.9873
Mn: 0.5000 0.0000 0.5141
O: 0.0000 0.1962 0.4741
O: 0.1662 0.0000 0.1754
O: 0.3325 0.1938 0.4915
O: 0.5000 0.0000 0.8011
F: 0.1573 0.0000 0.7757
F: 0.5000 0.0000 0.2087

**Offset from the most stable computed form**: 6.4 meV/atom
**Uncorrected formation energy**: -1767 meV/atom

***

Record 4
Computed, not measured: a geometry-optimized Mn6OF11 structure at the PBEsol level of DFT.

Cell lengths 9.3546, 6.8616, 7.4571 Å; angles 90.00, 110.03, 90.00 degrees
Space group Cm (No. 8)
Inequivalent atoms, fractional coordinates:
Mn: 0.0000 0.0000 0.0000
Mn: 0.0023 0.0000 0.4720
Mn: 0.1598 0.5000 0.1522
Mn: 0.1704 0.5000 0.6396
Mn: 0.3086 0.0000 0.3262
Mn: 0.3317 0.0000 0.8177
O: 0.0870 0.0000 0.2750
F: 0.0427 0.5000 0.3439
F: 0.1669 0.1958 0.6418
F: 0.2307 0.0000 0.0195
F: 0.2621 0.5000 0.9426
F: 0.3249 0.3063 0.3296
F: 0.4123 0.5000 0.6936
F: 0.4390 0.0000 0.6203
F: 0.4972 0.1991 0.9801

**Offset from the most stable computed form**: 3.7 meV/atom
**Uncorrected formation energy**: -2170 meV/atom